The following is a GGA-PBE calculation of Ba2Pb after structural relaxation, from Alexandria.

a b c (Å): 7.341 7.341 10.134
angles (deg): 65.27 65.27 36.91
Positions (direct):
Ba: 0.414 0.414 0.892
Ba: 0.159 0.159 0.436
Ba: 0.841 0.841 0.564
Ba: 0.586 0.586 0.108
Pb: 0.846 0.846 0.202
Pb: 0.154 0.154 0.798

* calculated formation energy: -362 meV per atom
* symmetry: C2/m (12)

---

The following is a GGA-PBE calculation of V6GaGe after structural relaxation, from Alexandria.

a b c (Å): 4.771 4.771 4.771
angles (deg): 90.00 90.00 90.00
Last column: magnetic moment on the atom in μB.
Positions (direct):
V: 0.000 0.500 0.752  0.06
V: 0.500 0.248 0.000  0.06
V: 0.752 0.000 0.500  0.06
V: 0.000 0.500 0.248  0.06
V: 0.500 0.752 0.000  0.06
V: 0.248 0.000 0.500  0.06
Ga: 0.500 0.500 0.500  0.00
Ge: 0.000 0.000 0.000  0.00

* energy above the most stable polymorph in this dataset: 0.000 eV/atom
* calculated formation energy: -250 meV per atom
* symmetry: Pm-3 (200)

---

The following is a GGA-PBE calculation of Be3SbP after structural relaxation, from Alexandria.

a b c (Å): 4.562 4.562 4.562
angles (deg): 90.00 90.00 90.00
Positions (direct):
Sb: 0.000 0.000 0.000
Be: 0.000 0.500 0.000
Be: 0.000 0.000 0.500
Be: 0.500 0.000 0.000
P: 0.500 0.500 0.500

* energy above the most stable polymorph in this dataset: 0.831 eV/atom
* symmetry: Pm-3m (221)
* E_form (uncorrected): 1.324 eV/atom

---

The following is a GGA-PBE calculation of Pr16Y6Er7 after structural relaxation, from Alexandria.

a b c (Å): 11.368 11.368 11.368
angles (deg): 60.00 60.00 60.00
Positions (direct):
Pr: 0.876 0.876 0.373
Pr: 0.876 0.876 0.876
Pr: 0.876 0.373 0.876
Pr: 0.373 0.876 0.876
Pr: 0.124 0.124 0.124
Pr: 0.124 0.124 0.627
Pr: 0.124 0.627 0.124
Pr: 0.627 0.124 0.124
Pr: 0.650 0.650 0.050
Pr: 0.650 0.650 0.650
Pr: 0.650 0.050 0.650
Pr: 0.050 0.650 0.650
Pr: 0.350 0.350 0.350
Pr: 0.350 0.350 0.950
Pr: 0.350 0.950 0.350
Pr: 0.950 0.350 0.350
Y: 0.268 0.732 0.268
Y: 0.732 0.268 0.732
Y: 0.732 0.268 0.268
Y: 0.268 0.732 0.732
Y: 0.732 0.732 0.268
Y: 0.268 0.268 0.732
Er: 0.000 0.000 0.000
Er: 0.500 0.000 0.500
Er: 0.000 0.500 0.000
Er: 0.000 0.500 0.500
Er: 0.500 0.000 0.000
Er: 0.000 0.000 0.500
Er: 0.500 0.500 0.000

* calculated formation energy: 190 meV per atom
* symmetry: Fm-3m (225)